A plane-wave DFT calculation with PBE-GGA was carried out for crystalline Nd6Tl2Zn at its relaxed geometry.

a b c (Å): 9.114 9.114 3.839
angles (deg): 90.00 90.00 120.00
Atoms (fractional coordinates):
Nd1 0.000 0.264 0.000
Nd2 0.000 0.605 0.500
Nd3 0.264 0.000 0.000
Nd4 0.395 0.395 0.500
Nd5 0.605 0.000 0.500
Nd6 0.736 0.736 0.000
Tl1 0.333 0.667 0.000
Tl2 0.667 0.333 0.000
Zn1 0.000 0.000 0.500

DOS(E_F) = 1.274 states/eV per atom
Formation energy = -0.235 eV/atom
Offset from the most stable computed form = 0.0000 eV/atom
V = 276.2 Å³/cell